Below is an optimized crystal structure of NaAsPt, with properties calculated at the PBE level.

```
NaAsPt
1.0
-4.7870 -2.1562 -2.1517
1.6990 -5.5550 1.7870
-1.4052 1.8966 7.2317
As Na Pt
4 4 4
Direct
0.4516 0.5995 0.7835 As
0.0484 0.0995 0.7165 As
0.5484 0.4005 0.2165 As
0.9516 0.9005 0.2835 As
0.6692 0.1261 0.8952 Na
0.8308 0.6261 0.6048 Na
0.3308 0.8739 0.1048 Na
0.1692 0.3739 0.3952 Na
0.8108 0.6055 0.0621 Pt
0.3108 0.8945 0.5621 Pt
0.1892 0.3945 0.9379 Pt
0.6892 0.1055 0.4379 Pt
```

Formation energy from the elements = -1.061 eV per formula unit
Raw total energy = -52.28 eV for the cell shown

---

Below is an optimized crystal structure of Na3As2Pt3, with properties calculated at the PBE level.

```
Na3As2Pt3
1.0
-2.8019 -2.4640 4.4127
1.8197 -7.2023 -2.8662
12.5553 -0.0003 7.9719
Pt Na As
12 12 8
Direct
0.1246 0.1262 0.9568 Pt
0.1246 0.1262 0.5432 Pt
0.6246 0.3738 0.0432 Pt
0.8754 0.8738 0.0432 Pt
0.9642 0.8011 0.7500 Pt
0.3754 0.6262 0.5432 Pt
0.3754 0.6262 0.9568 Pt
0.8754 0.8738 0.4568 Pt
0.4642 0.6989 0.2500 Pt
0.5358 0.3011 0.7500 Pt
0.0358 0.1989 0.2500 Pt
0.6246 0.3738 0.4568 Pt
0.4453 0.6574 0.7500 Na
0.6114 0.9917 0.8846 Na
0.6114 0.9917 0.6154 Na
0.1114 0.5083 0.3846 Na
0.8886 0.4917 0.6154 Na
0.0547 0.1574 0.7500 Na
0.5547 0.3426 0.2500 Na
0.1114 0.5083 0.1154 Na
0.8886 0.4917 0.8846 Na
0.9453 0.8426 0.2500 Na
0.3886 0.0083 0.3846 Na
0.3886 0.0083 0.1154 Na
0.3977 0.3347 0.5978 As
0.6023 0.6653 0.4022 As
0.3977 0.3347 0.9022 As
0.8977 0.1653 0.0978 As
0.1023 0.8347 0.5978 As
0.8977 0.1653 0.4022 As
0.1023 0.8347 0.9022 As
0.6023 0.6653 0.0978 As
```

Excess energy over the best structure of this formula in the dataset = 0.000 eV per atom
Formation energy from the elements = -3.848 eV per formula unit
Raw total energy = -140.91 eV for the cell shown

---

Below is an optimized crystal structure of Na3As2Pt3, with properties calculated at the PBE level.

```
Na3As2Pt3
1.0
-2.3206 4.8352 1.3820
-0.1865 1.5649 5.3095
4.7264 4.9874 1.5846
Na As Pt
3 2 3
Direct
0.0785 0.0785 0.7645 Na
0.5000 0.5000 0.5000 Na
0.9215 0.9215 0.2355 Na
0.7678 0.7678 0.6966 As
0.2322 0.2322 0.3034 As
0.5000 0.0000 0.0000 Pt
0.0000 0.5000 0.0000 Pt
0.5000 0.5000 0.0000 Pt
```

Excess energy over the best structure of this formula in the dataset = 0.016 eV per atom
Formation energy from the elements = -3.723 eV per formula unit
Raw total energy = -35.10 eV for the cell shown

---

Number 2 is which compound? Na3As2Pt3